[1]
! YFeCo, single point on PBEsol structure, DFT meta-GGA SCAN; values from VASP
&SYSTEM
  ibrav = 0, nat = 3, ntyp = 3
/
ATOMIC_SPECIES
Fe 55.84 Fe.upf
Y 88.91 Y.upf
Co 58.93 Co.upf
CELL_PARAMETERS angstrom
-0.223 4.155 -0.750
-2.708 2.401 2.186
1.450 2.747 2.868
ATOMIC_POSITIONS crystal
Fe 0.000 0.000 0.000
Y 0.500 0.500 0.500
Co 0.750 0.750 0.750
! Volume (Å³/cell): 53.4
! E_form (eV per atom): 0.361

[2]
! YFeCo2, single point on PBEsol structure, DFT meta-GGA SCAN; values from VASP
&SYSTEM
  ibrav = 0, nat = 4, ntyp = 3
/
ATOMIC_SPECIES
Co 58.93 Co.upf
Y 88.91 Y.upf
Fe 55.84 Fe.upf
CELL_PARAMETERS angstrom
-0.230 -4.130 -1.089
3.276 -2.618 0.839
-0.377 -2.994 3.032
ATOMIC_POSITIONS crystal
Co 0.750 0.750 0.750
Y 0.250 0.250 0.250
Co 0.000 0.000 0.000
Fe 0.500 0.500 0.500
! Volume (Å³/cell): 55.3
! E_form (eV per atom): 0.290

[3]
! YFeCo2, single point on PBEsol structure, DFT meta-GGA SCAN; values from VASP
&SYSTEM
  ibrav = 0, nat = 4, ntyp = 3
/
ATOMIC_SPECIES
Fe 55.84 Fe.upf
Y 88.91 Y.upf
Co 58.93 Co.upf
CELL_PARAMETERS angstrom
-1.803 3.815 0.879
-4.168 0.217 1.077
-1.133 0.968 4.044
ATOMIC_POSITIONS crystal
Fe 0.500 0.500 0.500
Y 0.000 0.000 0.000
Co 0.750 0.750 0.750
Co 0.250 0.250 0.250
! Volume (Å³/cell): 56.6
! E_form (eV per atom): 0.069